Entry 1:
DFT (PBE-GGA) results for crystalline NdLuMgSn at its relaxed geometry.

Results
As for the space group: F-43m. As for the formation energy from the elements: -372 meV per atom.

```
NdLuMgSn
1.0
0.000 3.771 3.771
3.771 0.000 3.771
3.771 3.771 0.000
Nd Lu Mg Sn
1 1 1 1
direct
0.000 0.000 0.000
0.500 0.500 0.500
0.750 0.750 0.750
0.250 0.250 0.250
```

***

Entry 2:
DFT (PBE-GGA) results for crystalline MoPPdPb2 at its relaxed geometry.

Results
As for the space group: P4/mmm. As for the formation energy from the elements: 1107 meV per atom.

```
MoPPdPb2
1.0
5.219 0.000 0.000
0.000 5.219 0.000
0.000 0.000 5.496
Mo P Pd Pb
1 1 1 2
direct
0.000 0.000 0.000
0.500 0.500 0.000
0.000 0.000 0.500
0.000 0.500 0.500
0.500 0.000 0.500
```

***

Entry 3:
DFT (PBE-GGA) results for crystalline V2ZnGa2 at its relaxed geometry.

Results
As for the space group: P4/mbm. The value obtained for the energy above the lowest structure with this stoichiometry is 0.000 eV per atom. As for the formation energy from the elements: 31 meV per atom.

```
V2ZnGa2
1.0
6.627 0.000 0.000
0.000 6.627 0.000
0.000 0.000 3.403
V Zn Ga
4 2 4
direct
0.170 0.330 0.000
0.330 0.830 0.000
0.670 0.170 0.000
0.830 0.670 0.000
0.000 0.000 0.500
0.500 0.500 0.500
0.131 0.631 0.500
0.369 0.131 0.500
0.631 0.869 0.500
0.869 0.369 0.500
```

***

Entry 4:
DFT (PBE-GGA) results for crystalline NiC2Br at its relaxed geometry.

Results
Its formation energy from raw total energies is 2.8193 eV/atom. As for the space group: Fm-3m. The value obtained for the energy above the lowest structure with this stoichiometry is 1.107 eV per atom.

```
NiC2Br
1.0
0.000 2.810 2.810
2.810 0.000 2.810
2.810 2.810 0.000
Ni C Br
1 2 1
direct
0.000 0.000 0.000
0.250 0.250 0.250
0.750 0.750 0.750
0.500 0.500 0.500
```

***

Entry 5:
DFT (PBE-GGA) results for crystalline CeYInAg at its relaxed geometry.

Results
As for the space group: F-43m. As for the formation energy from the elements: -284 meV per atom.

```
CeYInAg
1.0
0.000 3.773 3.773
3.773 0.000 3.773
3.773 3.773 0.000
Ce Y In Ag
1 1 1 1
direct
0.000 0.000 0.000
0.500 0.500 0.500
0.750 0.750 0.750
0.250 0.250 0.250
```

***

Entry 6:
DFT (PBE-GGA) results for crystalline HgP2PbCl at its relaxed geometry.

Results
Its formation energy from raw total energies is 0.6124 eV/atom. As for the space group: P4/mmm. The value obtained for the energy above the lowest structure with this stoichiometry is 0.000 eV per atom.

```
HgP2PbCl
1.0
4.949 0.000 0.000
0.000 4.949 0.000
0.000 0.000 5.614
Hg P Pb Cl
1 2 1 1
direct
0.000 0.000 0.000
0.000 0.500 0.000
0.500 0.000 0.000
0.500 0.500 0.500
0.000 0.000 0.500
```